## CeH4Os (PBE)

Data for a relaxed structure of CeH4Os.

The structure in POSCAR format:
```
CeH4Os
1.0
5.907 0.000 0.000
0.000 3.960 0.000
0.000 0.000 5.060
Ce H Os
2 8 2
Direct
0.000 0.164 0.000 Ce
0.500 0.836 0.500 Ce
0.000 0.122 0.519 H
0.000 0.665 0.194 H
0.182 0.649 0.794 H
0.318 0.351 0.294 H
0.500 0.335 0.694 H
0.500 0.878 0.019 H
0.682 0.351 0.294 H
0.818 0.649 0.794 H
0.000 0.663 0.529 Os
0.500 0.337 0.029 Os
```

Summary:
* polymorph energy (0 for the lowest one): 12.4 kJ/mol of atoms
* SG: Pmn2_1
* DOS at the Fermi energy: 5.00 states/eV per cell